Density functional theory data (PBE-GGA) for an optimized crystal structure of TbCeS2.

## Properties
ΔE_f (raw) ... -2.037 eV/atom
Symmetry ... No. 166
Total magnetic moment ... 0.8 μB per formula unit

Cell lengths 3.963, 3.963, 6.928 Å; angles 73.38, 73.38, 60.00 degrees
Last column: magnetic moment on the atom in μB.
Fractional coordinates of all 4 atoms:
S: 0.253 0.253 0.240  -0.01
S: 0.747 0.747 0.760  -0.01
Tb: 0.000 0.000 0.000  -0.01
Ce: 0.500 0.500 0.500  0.65


Density functional theory data (PBE-GGA) for an optimized crystal structure of LaInPbAu2.

## Properties
VASP energy ... -0.1253 hartree per atom
Symmetry ... No. 123
Total magnetic moment ... 0.0 μB per formula unit

Cell lengths 5.302, 5.656, 5.302 Å; angles 90.00, 90.00, 90.00 degrees
Fractional coordinates of all 5 atoms:
Pb: 0.000 0.000 0.000
In: 0.000 0.500 0.000
Au: 0.000 0.000 0.500
Au: 0.500 0.000 0.000
La: 0.500 0.500 0.500


Density functional theory data (PBE-GGA) for an optimized crystal structure of Be2Bi.

## Properties
VASP energy ... -0.1293 hartree per atom
Symmetry ... No. 63
Total magnetic moment ... 0.0 μB per formula unit

Cell lengths 3.636, 14.108, 4.285 Å; angles 90.00, 90.00, 90.00 degrees
Fractional coordinates of all 12 atoms:
Be: 0.000 0.000 0.000
Be: 0.000 0.000 0.500
Be: 0.500 0.500 0.000
Be: 0.500 0.500 0.500
Be: 0.000 0.464 0.250
Be: 0.000 0.536 0.750
Be: 0.500 0.964 0.250
Be: 0.500 0.036 0.750
Bi: 0.000 0.649 0.250
Bi: 0.000 0.351 0.750
Bi: 0.500 0.149 0.250
Bi: 0.500 0.851 0.750


Density functional theory data (PBE-GGA) for an optimized crystal structure of NaHoCl4.

## Properties
ΔE_f (raw) ... -2.113 eV/atom
Symmetry ... No. 10
Total magnetic moment ... 0.0 μB per formula unit

Cell lengths 4.029, 6.509, 7.257 Å; angles 93.28, 90.00, 90.00 degrees
Fractional coordinates of all 6 atoms:
Na: 0.500 0.000 0.500
Ho: 0.000 0.000 0.000
Cl: 0.000 0.797 0.297
Cl: 0.500 0.228 0.147
Cl: 0.500 0.772 0.853
Cl: 0.000 0.203 0.703


Density functional theory data (PBE-GGA) for an optimized crystal structure of NaSiH2.

## Properties
VASP energy ... -0.1219 hartree per atom
Symmetry ... No. 63
Total magnetic moment ... 0.0 μB per formula unit

Cell lengths 4.877, 5.516, 5.516 Å; angles 77.62, 90.00, 90.00 degrees
Fractional coordinates of all 8 atoms:
Na: 0.750 0.316 0.816
Na: 0.250 0.684 0.184
Si: 0.750 0.968 0.468
Si: 0.250 0.032 0.532
H: 0.250 0.987 0.816
H: 0.750 0.013 0.184
H: 0.250 0.316 0.488
H: 0.750 0.684 0.512


Density functional theory data (PBE-GGA) for an optimized crystal structure of ScCuRh.

## Properties
VASP energy ... -0.2271 hartree per atom
Symmetry ... No. 216
Total magnetic moment ... 0.0 μB per formula unit

Cell lengths 4.282, 4.282, 4.282 Å; angles 60.00, 60.00, 60.00 degrees
Fractional coordinates of all 3 atoms:
Cu: 0.500 0.500 0.500
Rh: 0.750 0.750 0.750
Sc: 0.000 0.000 0.000


Density functional theory data (PBE-GGA) for an optimized crystal structure of Ca3YHo2S6.

## Properties
ΔE_f (raw) ... -2.052 eV/atom
Symmetry ... No. 12
Total magnetic moment ... 0.0 μB per formula unit

Cell lengths 6.810, 6.810, 6.917 Å; angles 99.48, 99.48, 119.95 degrees
Fractional coordinates of all 12 atoms:
Ca: 0.166 0.834 0.500
Ca: 0.834 0.166 0.500
Ca: 0.500 0.500 0.500
Y: 0.000 0.000 0.000
Ho: 0.333 0.667 0.000
Ho: 0.667 0.333 0.000
S: 0.919 0.583 0.756
S: 0.746 0.746 0.244
S: 0.081 0.417 0.244
S: 0.583 0.919 0.756
S: 0.254 0.254 0.756
S: 0.417 0.081 0.244


Density functional theory data (PBE-GGA) for an optimized crystal structure of Ca2ScPb.

## Properties
VASP energy ... -0.1349 hartree per atom
Symmetry ... No. 139
Total magnetic moment ... 0.0 μB per formula unit

Cell lengths 6.222, 6.222, 6.222 Å; angles 135.38, 135.38, 64.94 degrees
Fractional coordinates of all 4 atoms:
Pb: 0.750 0.250 0.500
Sc: 0.250 0.750 0.500
Ca: 0.000 0.000 0.000
Ca: 0.500 0.500 0.000


Density functional theory data (PBE-GGA) for an optimized crystal structure of Pm6Tl2Au.

## Properties
VASP energy ... -0.1609 hartree per atom
Symmetry ... No. 136
Total magnetic moment ... 0.0 μB per formula unit

Cell lengths 5.180, 10.249, 10.254 Å; angles 90.00, 90.00, 90.00 degrees
Fractional coordinates of all 18 atoms:
Pm: 0.000 0.021 0.182
Pm: 0.000 0.682 0.521
Pm: 0.000 0.619 0.880
Pm: 0.500 0.119 0.619
Pm: 0.500 0.182 0.979
Pm: 0.500 0.521 0.318
Pm: 0.000 0.979 0.818
Pm: 0.000 0.318 0.479
Pm: 0.000 0.381 0.120
Pm: 0.500 0.881 0.381
Pm: 0.500 0.818 0.021
Pm: 0.500 0.479 0.682
Tl: 0.000 0.296 0.796
Tl: 0.500 0.796 0.704
Tl: 0.500 0.204 0.296
Tl: 0.000 0.704 0.204
Au: 0.500 0.500 0.000
Au: 0.000 0.000 0.500


Density functional theory data (PBE-GGA) for an optimized crystal structure of Pm3HoEr7.

## Properties
VASP energy ... -0.1640 hartree per atom
Symmetry ... No. 10
Total magnetic moment ... 0.0 μB per formula unit

Cell lengths 8.821, 10.053, 5.484 Å; angles 90.01, 128.41, 106.38 degrees
Fractional coordinates of all 11 atoms:
Pm: 0.215 0.995 0.715
Pm: 0.000 0.500 0.000
Pm: 0.785 0.005 0.285
Ho: 0.500 0.500 0.500
Er: 0.904 0.829 0.904
Er: 0.817 0.637 0.317
Er: 0.639 0.289 0.139
Er: 0.361 0.711 0.861
Er: 0.500 0.000 0.500
Er: 0.183 0.363 0.683
Er: 0.096 0.171 0.096


Density functional theory data (PBE-GGA) for an optimized crystal structure of Ho2SiNi6.

## Properties
ΔE_f (raw) ... -0.476 eV/atom
Symmetry ... No. 225
Total magnetic moment ... 0.0 μB per formula unit

Cell lengths 5.699, 5.699, 5.699 Å; angles 60.00, 60.00, 60.00 degrees
Fractional coordinates of all 9 atoms:
Ho: 0.250 0.250 0.250
Ho: 0.750 0.750 0.750
Si: 0.000 0.000 0.000
Ni: 0.280 0.720 0.720
Ni: 0.280 0.720 0.280
Ni: 0.720 0.280 0.720
Ni: 0.720 0.280 0.280
Ni: 0.720 0.720 0.280
Ni: 0.280 0.280 0.720


Density functional theory data (PBE-GGA) for an optimized crystal structure of BiP2Ir2.

## Properties
VASP energy ... -0.2410 hartree per atom
Symmetry ... No. 139
Total magnetic moment ... 0.0 μB per formula unit

Cell lengths 3.964, 3.964, 6.441 Å; angles 72.08, 72.08, 90.00 degrees
Fractional coordinates of all 5 atoms:
P: 0.750 0.250 0.500
P: 0.250 0.750 0.500
Ir: 0.359 0.359 0.282
Ir: 0.641 0.641 0.718
Bi: 0.000 0.000 0.000